1.
DFT (PBE-GGA) results for a relaxed structure of Co2ReSe.

Calculated values
* M_tot: 3.0 μB per formula unit
* formation energy (no corrections): 427.9 meV/atom
* SG: No. 160

Cell lengths 7.9979, 7.9979, 7.9979 Å; angles 20.46, 20.46, 20.46 degrees
Fractional positions:
Co (0.0000, 0.0000, 0.0000)
Co (0.2542, 0.2542, 0.2542)
Re (0.7522, 0.7522, 0.7522)
Se (0.5059, 0.5059, 0.5059)



2.
DFT (PBE-GGA) results for a relaxed structure of CoRe2Se.

Calculated values
* M_tot: 0.0 μB per formula unit
* formation energy (no corrections): 1098.8 meV/atom
* SG: No. 122

Cell lengths 6.5940, 6.5940, 6.5940 Å; angles 131.62, 131.62, 70.83 degrees
Fractional positions:
Co (0.0000, 0.0000, 0.0000)
Co (0.7500, 0.2500, 0.5000)
Re (0.0937, 0.6250, 0.9687)
Re (0.3750, 0.3437, 0.4687)
Re (0.6563, 0.1250, 0.0313)
Re (0.8750, 0.9063, 0.5313)
Se (0.2500, 0.7500, 0.5000)
Se (0.5000, 0.5000, 0.0000)



3.
DFT (PBE-GGA) results for a relaxed structure of CoRe2Se.

Calculated values
* M_tot: 1.3 μB per formula unit
* formation energy (no corrections): 575.5 meV/atom
* SG: No. 35

Cell lengths 2.7190, 2.7190, 9.0375 Å; angles 90.00, 90.00, 114.01 degrees
Fractional positions:
Co (0.0000, 0.0000, 0.0000)
Re (0.0000, 0.0000, 0.5294)
Re (0.5000, 0.5000, 0.7684)
Se (0.5000, 0.5000, 0.2212)



4.
DFT (PBE-GGA) results for a relaxed structure of Co2ReSe.

Calculated values
* M_tot: 0.5 μB per formula unit
* formation energy (no corrections): 569.5 meV/atom
* SG: No. 139

Cell lengths 4.5909, 4.5909, 4.5909 Å; angles 132.42, 132.42, 69.56 degrees
Fractional positions:
Co (0.2500, 0.7500, 0.5000)
Co (0.7500, 0.2500, 0.5000)
Re (0.0000, 0.0000, 0.0000)
Se (0.5000, 0.5000, 0.0000)



5.
DFT (PBE-GGA) results for a relaxed structure of CoRe2Se5.

Calculated values
* M_tot: 0.0 μB per formula unit
* formation energy (no corrections): 178.2 meV/atom
* SG: No. 8

Cell lengths 6.7838, 6.7838, 5.5082 Å; angles 112.74, 112.74, 61.64 degrees
Fractional positions:
Co (0.0000, 0.0000, 0.0000)
Re (0.0044, 0.0044, 0.4744)
Re (0.3964, 0.3964, 0.8393)
Se (0.0961, 0.6450, 0.0865)
Se (0.2017, 0.2017, 0.4416)
Se (0.3149, 0.7921, 0.8042)
Se (0.6450, 0.0961, 0.0865)
Se (0.7921, 0.3149, 0.8042)



6.
DFT (PBE-GGA) results for a relaxed structure of CoRe2Se.

Calculated values
* M_tot: 0.6 μB per formula unit
* formation energy (no corrections): 450.7 meV/atom
* SG: No. 8

Cell lengths 4.6829, 4.6829, 4.5340 Å; angles 92.73, 92.73, 35.85 degrees
Fractional positions:
Co (0.0000, 0.0000, 0.0000)
Re (0.4625, 0.4625, 0.4714)
Re (0.7286, 0.7286, 0.2413)
Se (0.2309, 0.2309, 0.7906)



7.
DFT (PBE-GGA) results for a relaxed structure of CoRe2Se.

Calculated values
* M_tot: 1.5 μB per formula unit
* formation energy (no corrections): 643.3 meV/atom
* SG: No. 47

Cell lengths 2.9693, 4.4002, 4.4874 Å; angles 90.00, 90.00, 90.00 degrees
Fractional positions:
Co (0.0000, 0.0000, 0.0000)
Re (0.0000, 0.5000, 0.5000)
Re (0.5000, 0.0000, 0.5000)
Se (0.5000, 0.5000, 0.0000)



8.
DFT (PBE-GGA) results for a relaxed structure of CoReSe.

Calculated values
* M_tot: 0.7 μB per formula unit
* formation energy (no corrections): 511.1 meV/atom
* energy relative to the lowest polymorph listed for this composition: 35.9 kJ/mol of formula units
* SG: No. 216

Cell lengths 4.0985, 4.0985, 4.0985 Å; angles 60.00, 60.00, 60.00 degrees
Fractional positions:
Co (0.0000, 0.0000, 0.0000)
Re (0.2500, 0.2500, 0.2500)
Se (0.5000, 0.5000, 0.5000)



9.
DFT (PBE-GGA) results for a relaxed structure of Co2ReSe.

Calculated values
* M_tot: 2.0 μB per formula unit
* formation energy (no corrections): 285.8 meV/atom
* SG: No. 166

Cell lengths 8.1094, 8.1094, 8.1094 Å; angles 19.76, 19.76, 19.76 degrees
Fractional positions:
Co (0.2475, 0.2475, 0.2475)
Co (0.7525, 0.7525, 0.7525)
Re (0.0000, 0.0000, 0.0000)
Se (0.5000, 0.5000, 0.5000)



10.
DFT (PBE-GGA) results for a relaxed structure of CoReSe.

Calculated values
* M_tot: 0.9 μB per formula unit
* formation energy (no corrections): 387.0 meV/atom
* energy relative to the lowest polymorph listed for this composition: 0.0 kJ/mol of formula units
* SG: No. 156

Cell lengths 2.9005, 2.9005, 5.8998 Å; angles 90.00, 90.00, 120.00 degrees
Fractional positions:
Co (0.0000, 0.0000, 0.0000)
Re (0.6667, 0.3333, 0.3293)
Se (0.3333, 0.6667, 0.6691)



11.
DFT (PBE-GGA) results for a relaxed structure of CoRe2Se.

Calculated values
* M_tot: 0.0 μB per formula unit
* formation energy (no corrections): 505.2 meV/atom
* SG: No. 123

Cell lengths 4.3452, 4.3452, 2.9141 Å; angles 90.00, 90.00, 90.00 degrees
Fractional positions:
Co (0.0000, 0.0000, 0.0000)
Re (0.0000, 0.5000, 0.5000)
Re (0.5000, 0.0000, 0.5000)
Se (0.5000, 0.5000, 0.0000)



12.
DFT (PBE-GGA) results for a relaxed structure of CoRe2Se.

Calculated values
* M_tot: 0.4 μB per formula unit
* formation energy (no corrections): 431.6 meV/atom
* SG: No. 12

Cell lengths 4.9416, 4.9416, 4.3021 Å; angles 94.45, 94.45, 34.48 degrees
Fractional positions:
Co (0.0000, 0.0000, 0.0000)
Re (0.2848, 0.2848, 0.7766)
Re (0.7152, 0.7152, 0.2234)
Se (0.5000, 0.5000, 0.5000)



13.
DFT (PBE-GGA) results for a relaxed structure of CoReSe.

Calculated values
* M_tot: 1.1 μB per formula unit
* formation energy (no corrections): 423.2 meV/atom
* energy relative to the lowest polymorph listed for this composition: 10.5 kJ/mol of formula units
* SG: No. 107

Cell lengths 5.3170, 5.3170, 5.3170 Å; angles 147.80, 147.80, 46.18 degrees
Fractional positions:
Co (0.0000, 0.0000, 0.0000)
Re (0.3388, 0.3388, 0.0000)
Se (0.6745, 0.6745, 0.0000)



14.
DFT (PBE-GGA) results for a relaxed structure of CoRe2Se.

Calculated values
* M_tot: 0.6 μB per formula unit
* formation energy (no corrections): 748.6 meV/atom
* SG: No. 65

Cell lengths 2.6614, 2.6614, 8.8697 Å; angles 90.00, 90.00, 106.90 degrees
Fractional positions:
Co (0.0000, 0.0000, 0.0000)
Re (0.5000, 0.5000, 0.2172)
Re (0.5000, 0.5000, 0.7828)
Se (0.0000, 0.0000, 0.5000)



15.
DFT (PBE-GGA) results for a relaxed structure of CoReSe3.

Calculated values
* M_tot: 2.1 μB per formula unit
* formation energy (no corrections): 1108.1 meV/atom
* SG: No. 221

Cell lengths 4.5691, 4.5691, 4.5691 Å; angles 90.00, 90.00, 90.00 degrees
Fractional positions:
Co (0.0000, 0.0000, 0.0000)
Re (0.5000, 0.5000, 0.5000)
Se (0.0000, 0.0000, 0.5000)
Se (0.0000, 0.5000, 0.0000)
Se (0.5000, 0.0000, 0.0000)



16.
DFT (PBE-GGA) results for a relaxed structure of Co2ReSe.

Calculated values
* M_tot: 0.6 μB per formula unit
* formation energy (no corrections): 348.2 meV/atom
* SG: No. 99

Cell lengths 3.0401, 3.0401, 5.6545 Å; angles 90.00, 90.00, 90.00 degrees
Fractional positions:
Co (0.0000, 0.0000, 0.0000)
Co (0.5000, 0.5000, 0.2406)
Re (0.0000, 0.0000, 0.4646)
Se (0.5000, 0.5000, 0.8007)



17.
DFT (PBE-GGA) results for a relaxed structure of Co2ReSe.

Calculated values
* M_tot: 0.0 μB per formula unit
* formation energy (no corrections): 565.3 meV/atom
* SG: No. 123

Cell lengths 3.7025, 3.7025, 3.7385 Å; angles 90.00, 90.00, 90.00 degrees
Fractional positions:
Co (0.0000, 0.5000, 0.0000)
Co (0.5000, 0.0000, 0.0000)
Re (0.0000, 0.0000, 0.5000)
Se (0.5000, 0.5000, 0.5000)



18.
DFT (PBE-GGA) results for a relaxed structure of Co2ReSe.

Calculated values
* M_tot: 0.1 μB per formula unit
* formation energy (no corrections): 361.9 meV/atom
* SG: No. 8

Cell lengths 4.3742, 4.3742, 4.6220 Å; angles 92.75, 92.75, 37.13 degrees
Fractional positions:
Co (0.0000, 0.0000, 0.0000)
Co (0.7336, 0.7336, 0.2667)
Re (0.2685, 0.2685, 0.7921)
Se (0.4731, 0.4731, 0.4114)



19.
DFT (PBE-GGA) results for a relaxed structure of Co4ReSe.

Calculated values
* M_tot: 6.1 μB per formula unit
* formation energy (no corrections): 532.8 meV/atom
* SG: No. 216

Cell lengths 4.7560, 4.7560, 4.7560 Å; angles 60.00, 60.00, 60.00 degrees
Fractional positions:
Co (0.1253, 0.1253, 0.1253)
Co (0.1253, 0.1253, 0.6240)
Co (0.1253, 0.6240, 0.1253)
Co (0.6240, 0.1253, 0.1253)
Re (0.5000, 0.5000, 0.5000)
Se (0.7500, 0.7500, 0.7500)



20.
DFT (PBE-GGA) results for a relaxed structure of Co2ReSe.

Calculated values
* M_tot: 0.0 μB per formula unit
* formation energy (no corrections): 420.6 meV/atom
* SG: No. 65

Cell lengths 4.5077, 4.5077, 2.7441 Å; angles 90.00, 90.00, 111.05 degrees
Fractional positions:
Co (0.0000, 0.5000, 0.0000)
Co (0.5000, 0.0000, 0.0000)
Re (0.0000, 0.0000, 0.5000)
Se (0.5000, 0.5000, 0.5000)



21.
DFT (PBE-GGA) results for a relaxed structure of Co2ReSe.

Calculated values
* M_tot: 0.0 μB per formula unit
* formation energy (no corrections): 346.4 meV/atom
* SG: No. 25

Cell lengths 2.7325, 4.0762, 4.6535 Å; angles 90.00, 90.00, 90.00 degrees
Fractional positions:
Co (0.0000, 0.0000, 0.0000)
Co (0.0000, 0.5000, 0.3135)
Re (0.5000, 0.5000, 0.8189)
Se (0.5000, 0.0000, 0.4358)



22.
DFT (PBE-GGA) results for a relaxed structure of CoRe2Se2.

Calculated values
* M_tot: 0.8 μB per formula unit
* formation energy (no corrections): 751.1 meV/atom
* energy relative to the lowest polymorph listed for this composition: 0.0 kJ/mol of formula units
* SG: No. 127

Cell lengths 6.4821, 6.4821, 3.8386 Å; angles 90.00, 90.00, 90.00 degrees
Fractional positions:
Co (0.0000, 0.0000, 0.0000)
Co (0.5000, 0.5000, 0.0000)
Re (0.1369, 0.3631, 0.0000)
Re (0.3631, 0.8631, 0.0000)
Re (0.6369, 0.1369, 0.0000)
Re (0.8631, 0.6369, 0.0000)
Se (0.1673, 0.6673, 0.5000)
Se (0.3327, 0.1673, 0.5000)
Se (0.6673, 0.8327, 0.5000)
Se (0.8327, 0.3327, 0.5000)



23.
DFT (PBE-GGA) results for a relaxed structure of Co2ReSe.

Calculated values
* M_tot: 1.2 μB per formula unit
* formation energy (no corrections): 250.8 meV/atom
* SG: No. 123

Cell lengths 2.7504, 2.7504, 6.9922 Å; angles 90.00, 90.00, 90.00 degrees
Fractional positions:
Co (0.0000, 0.0000, 0.2463)
Co (0.0000, 0.0000, 0.7537)
Re (0.5000, 0.5000, 0.0000)
Se (0.5000, 0.5000, 0.5000)



24.
DFT (PBE-GGA) results for a relaxed structure of CoRe2Se.

Calculated values
* M_tot: 1.1 μB per formula unit
* formation energy (no corrections): 462.1 meV/atom
* SG: No. 123

Cell lengths 2.9909, 2.9909, 6.2530 Å; angles 90.00, 90.00, 90.00 degrees
Fractional positions:
Co (0.0000, 0.0000, 0.0000)
Re (0.5000, 0.5000, 0.2339)
Re (0.5000, 0.5000, 0.7661)
Se (0.0000, 0.0000, 0.5000)



25.
DFT (PBE-GGA) results for a relaxed structure of CoRe2Se.

Calculated values
* M_tot: 0.0 μB per formula unit
* formation energy (no corrections): 434.0 meV/atom
* SG: No. 44

Cell lengths 5.0228, 5.0228, 5.0228 Å; angles 145.59, 128.75, 63.20 degrees
Fractional positions:
Co (0.0000, 0.0000, 0.0000)
Re (0.2688, 0.7688, 0.5000)
Re (0.5429, 0.5429, 0.0000)
Se (0.7859, 0.2859, 0.5000)



26.
DFT (PBE-GGA) results for a relaxed structure of SrCo2ReSe.

Calculated values
* M_tot: 2.6 μB per formula unit
* formation energy (no corrections): 1348.9 meV/atom
* SG: No. 123

Cell lengths 4.3905, 4.3905, 5.5095 Å; angles 90.00, 90.00, 90.00 degrees
Fractional positions:
Sr (0.0000, 0.0000, 0.0000)
Co (0.0000, 0.5000, 0.5000)
Co (0.5000, 0.0000, 0.5000)
Re (0.5000, 0.5000, 0.0000)
Se (0.0000, 0.0000, 0.5000)



27.
DFT (PBE-GGA) results for a relaxed structure of CoReWSe2.

Calculated values
* M_tot: 0.0 μB per formula unit
* formation energy (no corrections): 1524.5 meV/atom
* SG: No. 123

Cell lengths 4.4210, 4.4210, 4.5293 Å; angles 90.00, 90.00, 90.00 degrees
Fractional positions:
Co (0.0000, 0.0000, 0.0000)
Re (0.5000, 0.5000, 0.5000)
W (0.0000, 0.0000, 0.5000)
Se (0.0000, 0.5000, 0.0000)
Se (0.5000, 0.0000, 0.0000)



28.
DFT (PBE-GGA) results for a relaxed structure of Co2ReSi.

Calculated values
* M_tot: 0.0 μB per formula unit
* formation energy (no corrections): -126.6 meV/atom
* SG: No. 8

Cell lengths 4.3853, 4.3853, 4.4481 Å; angles 102.32, 102.32, 34.99 degrees
Fractional positions:
Co (0.0000, 0.0000, 0.0000)
Co (0.2395, 0.2395, 0.7287)
Re (0.4853, 0.4853, 0.5023)
Si (0.7340, 0.7340, 0.1872)



29.
DFT (PBE-GGA) results for a relaxed structure of Co2ReSi.

Calculated values
* M_tot: 0.0 μB per formula unit
* formation energy (no corrections): -142.8 meV/atom
* SG: No. 10

Cell lengths 2.6360, 3.7602, 4.9778 Å; angles 90.00, 104.22, 90.00 degrees
Fractional positions:
Co (0.1046, 0.0000, 0.2577)
Co (0.8954, 0.0000, 0.7423)
Re (0.5000, 0.5000, 0.0000)
Si (0.5000, 0.5000, 0.5000)



30.
DFT (PBE-GGA) results for a relaxed structure of Co2ReSi.

Calculated values
* M_tot: 1.9 μB per formula unit
* formation energy (no corrections): 37.8 meV/atom
* SG: No. 160

Cell lengths 8.0827, 8.0827, 8.0827 Å; angles 19.13, 19.13, 19.13 degrees
Fractional positions:
Co (0.0000, 0.0000, 0.0000)
Co (0.2490, 0.2490, 0.2490)
Re (0.4958, 0.4958, 0.4958)
Si (0.7397, 0.7397, 0.7397)